CaB2F, optimized geometry, DFT PBE-GGA; E_tot = -3.259 eV/atom; magnetic moment = 0.0 μB/f.u.; distance to the lowest polymorph of the same formula = 2.006 eV/atom; E_form (uncorrected) = 1.048 eV per atom
1.0
0.000 3.080 3.080
3.080 0.000 3.080
3.080 3.080 0.000
Ca B F
1 2 1
Cartesian
0.000 0.000 0.000 Ca
1.540 1.540 1.540 B
4.620 4.620 4.620 B
3.080 3.080 3.080 F